(1)
This record from Alexandria describes a relaxed SbOs2Pt crystal. The functional is PBE.

Computed properties:
energy relative to the elements, uncorrected	0.452	eV/atom

Cell lengths 9.1587, 9.1587, 9.1587 Å; angles 18.34, 18.34, 18.34 degrees
With the nearest neighbours (Å) after each atom.
Fractional coordinates of all 4 atoms:
Os: 0.9953 0.9953 0.9953  9 Os 2.62-2.92, 3 Sb 2.87
Os: 0.2544 0.2544 0.2544  9 Os 2.62-2.92, 3 Pt 2.86
Pt: 0.5024 0.5024 0.5024  3 Os 2.86, 3 Sb 2.91, 6 Pt 2.92
Sb: 0.7478 0.7478 0.7478  3 Os 2.87, 3 Pt 2.91, 6 Sb 2.92

---

(2)
This record from Alexandria describes a relaxed KIn3Si crystal. The functional is PBE.

Computed properties:
energy above the most stable polymorph in this dataset	0.0	meV per atom
energy relative to the elements, uncorrected	0.234	eV/atom

Cell lengths 5.4937, 5.4937, 5.4937 Å; angles 90.00, 90.00, 90.00 degrees
With the nearest neighbours (Å) after each atom.
Fractional coordinates of all 5 atoms:
K: 0.5000 0.5000 0.5000  12 In 3.88
Si: 0.0000 0.0000 0.0000  6 In 2.75
In: 0.0000 0.5000 0.0000  2 Si 2.75
In: 0.0000 0.0000 0.5000  2 Si 2.75
In: 0.5000 0.0000 0.0000  2 Si 2.75

---

(3)
This record from Alexandria describes a relaxed MnNb2P2 crystal. The functional is PBE.

Computed properties:
energy above the most stable polymorph in this dataset	0.0	meV per atom

Cell lengths 5.8526, 5.8526, 4.0581 Å; angles 90.00, 90.00, 90.00 degrees
With the nearest neighbours (Å) after each atom.
Fractional coordinates of all 10 atoms:
P: 0.3593 0.8593 0.0000  2 Mn 2.26, 1 P 2.33
P: 0.8593 0.6407 0.0000  2 Mn 2.26, 1 P 2.33
P: 0.6407 0.1407 0.0000  2 Mn 2.26, 1 P 2.33
P: 0.1407 0.3593 0.0000  2 Mn 2.26, 1 P 2.33
Nb: 0.1685 0.6685 0.5000  6 P 2.57-2.72, 1 Nb 2.79
Nb: 0.6685 0.8315 0.5000  6 P 2.57-2.72, 1 Nb 2.79
Nb: 0.8315 0.3315 0.5000  6 P 2.57-2.72, 1 Nb 2.79
Nb: 0.3315 0.1685 0.5000  6 P 2.57-2.72, 1 Nb 2.79
Mn: 0.0000 0.0000 0.0000  4 P 2.26
Mn: 0.5000 0.5000 0.0000  4 P 2.26

---

(4)
This record from Alexandria describes a relaxed Y6Al2Cd crystal. The functional is PBE.

Computed properties:
DFT total energy	-5.520	eV per atom

Cell lengths 8.7345, 8.7345, 8.7345 Å; angles 105.05, 112.33, 111.13 degrees
With the nearest neighbours (Å) after each atom.
Fractional coordinates of all 18 atoms:
Y: 0.5437 0.7259 0.8177  3 Al 3.13-3.20, 1 Cd 3.24
Y: 0.4563 0.2741 0.1823  3 Al 3.13-3.20, 1 Cd 3.24
Y: 0.0918 0.2741 0.8177  3 Al 3.13-3.20, 1 Cd 3.24
Y: 0.9082 0.7259 0.1823  3 Al 3.13-3.20, 1 Cd 3.24
Y: 0.8000 0.7543 0.5543  2 Al 3.03-3.24, 2 Cd 3.26-3.33
Y: 0.2000 0.2457 0.4457  2 Al 3.03-3.24, 2 Cd 3.26-3.33
Y: 0.2000 0.7543 0.9543  2 Al 3.03-3.24, 2 Cd 3.26-3.33
Y: 0.8000 0.2457 0.0457  2 Al 3.03-3.24, 2 Cd 3.26-3.33
Y: 0.7084 0.3870 0.6786  3 Al 2.96-3.12
Y: 0.2916 0.6130 0.3214  3 Al 2.96-3.12
Y: 0.2916 0.9702 0.6786  3 Al 2.96-3.12
Y: 0.7084 0.0298 0.3214  3 Al 2.96-3.12
Al: 0.5000 0.3781 0.8781  1 Al 2.59
Al: 0.5000 0.6219 0.1219  1 Al 2.59
Al: 0.6422 0.0000 0.6422  1 Al 2.77, 2 Y 3.03
Al: 0.3578 0.0000 0.3578  1 Al 2.77, 2 Y 3.03
Cd: 0.0000 0.5000 0.5000  8 Y 3.33-3.45
Cd: 0.0000 0.0000 0.0000  8 Y 3.24-3.26, 2 Al 3.48

---

(5)
This record from Alexandria describes a relaxed Sr3Hg2 crystal. The functional is PBE.

Computed properties:
energy above the most stable polymorph in this dataset	81.7	meV per atom

Cell lengths 10.7816, 7.2661, 9.3853 Å; angles 79.59, 41.52, 58.89 degrees
With the nearest neighbours (Å) after each atom.
Fractional coordinates of all 10 atoms:
Sr: 0.7848 0.5506 0.2984  4 Hg 3.38-3.48
Sr: 0.3662 0.2984 0.5506  4 Hg 3.38-3.48
Sr: 0.6994 0.4652 0.8838  4 Hg 3.38-3.48
Sr: 0.9516 0.8838 0.4652  4 Hg 3.38-3.48
Sr: 0.0645 0.9355 0.9355  4 Hg 3.25-3.31
Sr: 0.3145 0.1855 0.1855  4 Hg 3.25-3.31
Hg: 0.3263 0.7917 0.4238  6 Sr 3.25-3.48, 2 Hg 3.63
Hg: 0.4582 0.4238 0.7917  6 Sr 3.25-3.48, 2 Hg 3.63
Hg: 0.4583 0.9237 0.7918  6 Sr 3.25-3.48, 2 Hg 3.63
Hg: 0.8262 0.7918 0.9237  6 Sr 3.25-3.48, 2 Hg 3.63

---

Summary of DOS at the Fermi energy in states/eV per atom
0.87, 0.79, 0.78, 0.84, 0.91
(order as listed above)